VASP calculation (GGA-PBE) on Ac2TlB3Rh12 after structural relaxation.

Output
**DFT formation energy**: -0.095 eV per atom
**Density of states at the Fermi level**: 20.95 states/eV/f.u.
**Uncorrected energy**: -361.62 eV per cell

Cell and atoms, written as CIF:
```
data_Ac2TlB3Rh12
_space_group_name_H-M_alt 'R -3 m'
_space_group_IT_number 166
_space_group_name_Hall '-R 3 2"'
_cell_length_a 7.5309
_cell_length_b 7.5309
_cell_length_c 18.6633
_cell_angle_alpha 90.00
_cell_angle_beta 90.00
_cell_angle_gamma 120.00
loop_
_atom_site_label
_atom_site_type_symbol
_atom_site_fract_x
_atom_site_fract_y
_atom_site_fract_z
Ac1 Ac 0.0000 0.0000 0.0963
Tl1 Tl 0.0000 0.0000 0.5000
B1 B 0.0000 0.5000 0.0000
Rh1 Rh 0.0750 0.5375 0.3083
Rh2 Rh 0.0820 0.5410 0.8908
```